A geometry-optimized NaIn2I structure, computed with PBE-GGA.

Properties
The calculation puts the uncorrected formation energy at 0.28 kJ per mole of atoms.

abc: 5.803 5.803 5.803
angles: 60.00 60.00 60.00
Fractional positions:
Na: 0.000 0.000 0.000
In: 0.250 0.250 0.250
In: 0.750 0.750 0.750
I: 0.500 0.500 0.500

***

A geometry-optimized SrCePm2 structure, computed with PBE-GGA.

Properties
The formation energy is 0.12 eV per atom. As for the energy above the most stable polymorph in this dataset: 0.00 eV/f.u.

abc: 3.681 3.681 10.742
angles: 90.00 90.00 90.00
Fractional positions:
Sr: 0.000 0.000 0.000
Ce: 0.000 0.000 0.500
Pm: 0.500 0.500 0.285
Pm: 0.500 0.500 0.715

***

A geometry-optimized Tb2PrHoEr structure, computed with PBE-GGA.

Properties
The formation energy is 0.38 eV per atom.

abc: 7.128 7.128 7.210
angles: 90.00 90.00 107.71
Fractional positions:
Tb: 0.191 0.191 0.000
Tb: 0.191 0.191 0.500
Tb: 0.809 0.809 0.000
Tb: 0.809 0.809 0.500
Pr: 0.228 0.772 0.750
Pr: 0.772 0.228 0.250
Ho: 0.497 0.503 0.750
Ho: 0.503 0.497 0.250
Er: 0.225 0.775 0.250
Er: 0.775 0.225 0.750

***

A geometry-optimized PmAl2SiOs structure, computed with PBE-GGA.

Properties
The calculation puts the uncorrected formation energy at -47.41 kJ per mole of atoms.

abc: 6.299 6.299 6.299
angles: 143.00 142.87 53.42
Fractional positions:
Pm: 0.000 0.000 0.000
Al: 0.379 0.379 0.000
Al: 0.740 0.240 0.500
Si: 0.606 0.606 0.000
Os: 0.236 0.736 0.500

***

A geometry-optimized CsAcZnF6 structure, computed with PBE-GGA.

Properties
The calculation puts the uncorrected formation energy at -312.45 kJ per mole of atoms.

abc: 7.772 7.772 7.772
angles: 119.67 114.90 94.81
Fractional positions:
Cs: 0.333 0.083 0.250
Cs: 0.667 0.917 0.750
Ac: 0.000 0.500 0.500
Ac: 0.500 0.500 0.000
Zn: 0.000 0.000 0.500
Zn: 0.000 0.500 0.000
F: 0.043 0.347 0.157
F: 0.043 0.886 0.697
F: 0.082 0.332 0.750
F: 0.311 0.114 0.657
F: 0.311 0.653 0.197
F: 0.372 0.622 0.750
F: 0.628 0.378 0.250
F: 0.689 0.347 0.803
F: 0.689 0.886 0.343
F: 0.918 0.668 0.250
F: 0.957 0.114 0.303
F: 0.957 0.653 0.843

***

A geometry-optimized ZrScAsI2 structure, computed with PBE-GGA.

Properties
The calculation puts the uncorrected formation energy at 58.80 kJ per mole of atoms.

abc: 5.705 5.705 5.155
angles: 90.00 90.00 90.00
Fractional positions:
Zr: 0.000 0.000 0.000
Sc: 0.500 0.500 0.000
As: 0.000 0.000 0.500
I: 0.000 0.500 0.500
I: 0.500 0.000 0.500

***

A geometry-optimized Nd2MgZr structure, computed with PBE-GGA.

Properties
The formation energy is 0.11 eV per atom. As for the energy above the most stable polymorph in this dataset: 0.28 eV/f.u.

abc: 5.686 5.686 3.551
angles: 90.00 90.00 90.00
Fractional positions:
Nd: 0.000 0.500 0.000
Nd: 0.500 0.000 0.000
Mg: 0.000 0.000 0.500
Zr: 0.500 0.500 0.500

***

A geometry-optimized Ti2MnCdC structure, computed with PBE-GGA.

Properties
The formation energy is -0.26 eV per atom.

abc: 4.268 4.268 3.876
angles: 90.00 90.00 90.00
Fractional positions:
Ti: 0.000 0.500 0.000
Ti: 0.500 0.000 0.000
Mn: 0.000 0.000 0.500
Cd: 0.500 0.500 0.500
C: 0.000 0.000 0.000

***

A geometry-optimized K2MgTc structure, computed with PBE-GGA.

Properties
The formation energy is 1.18 eV per atom.

abc: 9.091 9.091 9.091
angles: 94.81 94.81 146.32
Fractional positions:
K: 0.375 0.028 0.153
K: 0.778 0.625 0.653
K: 0.875 0.222 0.847
K: 0.972 0.125 0.347
Mg: 0.250 0.750 0.500
Mg: 0.500 0.500 0.000
Tc: 0.000 0.000 0.000
Tc: 0.750 0.250 0.500

***

A geometry-optimized AlTl2As structure, computed with PBE-GGA.

Properties
The formation energy is 0.29 eV per atom. As for the energy above the most stable polymorph in this dataset: 1.36 eV/f.u.

abc: 3.882 3.882 6.608
angles: 90.00 90.00 90.00
Fractional positions:
Al: 0.000 0.000 0.000
Tl: 0.500 0.500 0.256
Tl: 0.500 0.500 0.744
As: 0.000 0.000 0.500

***

A geometry-optimized LiLaB2 structure, computed with PBE-GGA.

Properties
The formation energy is 0.36 eV per atom. As for the energy above the most stable polymorph in this dataset: 0.00 eV/f.u.

abc: 8.113 8.113 8.113
angles: 151.95 151.95 40.08
Fractional positions:
Li: 0.375 0.625 0.750
Li: 0.625 0.375 0.250
La: 0.125 0.875 0.250
La: 0.875 0.125 0.750
B: 0.000 0.500 0.500
B: 0.500 0.000 0.000
B: 0.500 0.500 0.000
B: 0.500 0.500 0.500

***

A geometry-optimized Sn2PdRh3 structure, computed with PBE-GGA.

Properties
The formation energy is -0.42 eV per atom. As for the energy above the most stable polymorph in this dataset: 0.00 eV/f.u.

abc: 4.347 8.070 5.615
angles: 90.00 90.00 90.00
Fractional positions:
Sn: 0.000 0.147 0.000
Sn: 0.000 0.853 0.500
Sn: 0.500 0.346 0.599
Sn: 0.500 0.654 0.099
Pd: 0.000 0.474 0.834
Pd: 0.000 0.526 0.334
Rh: 0.000 0.180 0.475
Rh: 0.000 0.820 0.975
Rh: 0.500 0.027 0.765
Rh: 0.500 0.320 0.119
Rh: 0.500 0.680 0.619
Rh: 0.500 0.973 0.265